Entry a
The following is a PBE calculation of Pr2SmBe after structural relaxation, from Alexandria.

Structure (CIF):
```
data_Pr2SmBe
_chemical_formula_sum 'Pr2 Sm1 Be1'
_cell_length_a 3.621
_cell_length_b 3.621
_cell_length_c 8.791
_cell_angle_alpha 90.00
_cell_angle_beta 90.00
_cell_angle_gamma 90.00
_space_group_name_H-M_alt 'P 1'
_space_group_IT_number 1
loop_
_space_group_symop_operation_xyz
'x,y,z'
loop_
_atom_site_label
_atom_site_fract_x
_atom_site_fract_y
_atom_site_fract_z
Be1 0.500 0.500 0.000
Sm1 0.500 0.500 0.500
Pr1 0.000 0.000 0.195
Pr2 0.000 0.000 0.805
```

Values from the calculation:
SG   No. 123
Crystal system   tetragonal

Entry b
The following is a PBE calculation of Pr2SmBe after structural relaxation, from Alexandria.

Structure (CIF):
```
data_Pr2SmBe
_chemical_formula_sum 'Pr2 Sm1 Be1'
_cell_length_a 3.540
_cell_length_b 3.540
_cell_length_c 11.981
_cell_angle_alpha 81.50
_cell_angle_beta 81.50
_cell_angle_gamma 60.00
_space_group_name_H-M_alt 'P 1'
_space_group_IT_number 1
loop_
_space_group_symop_operation_xyz
'x,y,z'
loop_
_atom_site_label
_atom_site_fract_x
_atom_site_fract_y
_atom_site_fract_z
Pr1 0.916 0.916 0.251
Pr2 0.084 0.084 0.749
Be1 0.000 0.000 0.000
Sm1 0.500 0.500 0.500
```

Values from the calculation:
SG   No. 166
Crystal system   trigonal

Referenced to the most stable arrangement, the calculated values in eV/atom are entry a 0.000; entry b 0.565.

Entry a
The following is a PBE calculation of BePt4 after structural relaxation, from Alexandria.

Structure (CIF):
```
data_BePt4
_chemical_formula_sum 'Be2 Pt8'
_cell_length_a 5.302
_cell_length_b 5.291
_cell_length_c 5.918
_cell_angle_alpha 116.55
_cell_angle_beta 90.00
_cell_angle_gamma 90.00
_space_group_name_H-M_alt 'P 1'
_space_group_IT_number 1
loop_
_space_group_symop_operation_xyz
'x,y,z'
loop_
_atom_site_label
_atom_site_fract_x
_atom_site_fract_y
_atom_site_fract_z
Pt1 0.685 0.310 0.257
Pt2 0.185 0.447 0.257
Pt3 0.315 0.947 0.257
Pt4 0.815 0.810 0.257
Pt5 0.185 0.553 0.743
Be1 0.000 0.000 0.000
Be2 0.500 0.500 0.000
Pt6 0.315 0.053 0.743
Pt7 0.685 0.690 0.743
Pt8 0.815 0.190 0.743
```

Values from the calculation:
SG   No. 68
Crystal system   orthorhombic

Entry b
The following is a PBE calculation of BePt4 after structural relaxation, from Alexandria.

Structure (CIF):
```
data_BePt4
_chemical_formula_sum 'Be1 Pt4'
_cell_length_a 7.120
_cell_length_b 7.120
_cell_length_c 7.120
_cell_angle_alpha 150.81
_cell_angle_beta 150.81
_cell_angle_gamma 41.76
_space_group_name_H-M_alt 'P 1'
_space_group_IT_number 1
loop_
_space_group_symop_operation_xyz
'x,y,z'
loop_
_atom_site_label
_atom_site_fract_x
_atom_site_fract_y
_atom_site_fract_z
Be1 0.000 0.000 0.000
Pt1 0.250 0.750 0.500
Pt2 0.407 0.407 0.000
Pt3 0.750 0.250 0.500
Pt4 0.593 0.593 0.000
```

Values from the calculation:
SG   No. 139
Crystal system   tetragonal

Referenced to the most stable arrangement, the calculated values in eV/atom are entry a 0.000; entry b 0.587.

Entry a
The following is a PBE calculation of BePt4 after structural relaxation, from Alexandria.

Structure (CIF):
```
data_BePt4
_chemical_formula_sum 'Be1 Pt4'
_cell_length_a 4.220
_cell_length_b 4.220
_cell_length_c 4.220
_cell_angle_alpha 90.00
_cell_angle_beta 90.00
_cell_angle_gamma 90.00
_space_group_name_H-M_alt 'P 1'
_space_group_IT_number 1
loop_
_space_group_symop_operation_xyz
'x,y,z'
loop_
_atom_site_label
_atom_site_fract_x
_atom_site_fract_y
_atom_site_fract_z
Pt1 0.000 0.500 0.500
Pt2 0.000 0.000 0.000
Pt3 0.500 0.000 0.500
Pt4 0.500 0.500 0.000
Be1 0.500 0.500 0.500
```

Values from the calculation:
SG   No. 221
Crystal system   cubic

Entry b
The following is a PBE calculation of BePt4 after structural relaxation, from Alexandria.

Structure (CIF):
```
data_BePt4
_chemical_formula_sum 'Be1 Pt4'
_cell_length_a 4.724
_cell_length_b 4.724
_cell_length_c 4.724
_cell_angle_alpha 100.24
_cell_angle_beta 100.24
_cell_angle_gamma 130.11
_space_group_name_H-M_alt 'P 1'
_space_group_IT_number 1
loop_
_space_group_symop_operation_xyz
'x,y,z'
loop_
_atom_site_label
_atom_site_fract_x
_atom_site_fract_y
_atom_site_fract_z
Be1 0.000 0.000 0.000
Pt1 0.801 0.611 0.412
Pt2 0.199 0.389 0.588
Pt3 0.611 0.199 0.811
Pt4 0.389 0.801 0.189
```

Values from the calculation:
SG   No. 87
Crystal system   tetragonal

Entry c
The following is a PBE calculation of BePt4 after structural relaxation, from Alexandria.

Structure (CIF):
```
data_BePt4
_chemical_formula_sum 'Be1 Pt4'
_cell_length_a 4.690
_cell_length_b 4.690
_cell_length_c 4.690
_cell_angle_alpha 109.47
_cell_angle_beta 109.47
_cell_angle_gamma 109.47
_space_group_name_H-M_alt 'P 1'
_space_group_IT_number 1
loop_
_space_group_symop_operation_xyz
'x,y,z'
loop_
_atom_site_label
_atom_site_fract_x
_atom_site_fract_y
_atom_site_fract_z
Pt1 0.000 0.500 0.000
Pt2 0.500 0.000 0.000
Pt3 0.500 0.500 0.500
Pt4 0.000 0.000 0.500
Be1 0.000 0.000 0.000
```

Values from the calculation:
SG   No. 229
Crystal system   cubic

Referenced to the most stable arrangement, the calculated values in eV/atom are entry a 0.326; entry b 0.000; entry c 0.156.